VASP calculation (PBE with a Hubbard U) on an optimized crystal structure of Li2VCrO4.

Results
Fermi-level density of states (states/eV per atom): 0.00
Excess energy over the best structure of this formula in the dataset (kJ/mol of formula units): 1
E_tot (eV per atom): -6.91

Cell: 5.1541 5.9974 5.1526 Å, 90.00 109.17 90.00°
With the nearest neighbours (Å) after each atom.
Fractional coordinates of all 16 atoms:
Li  0.0000  0.1213  0.2500  6 O 2.16-2.19
Li  0.0000  0.3691  0.7500  6 O 2.16-2.22
Li  0.0000  0.6309  0.2500  6 O 2.16-2.22
Li  0.0000  0.8787  0.7500  6 O 2.16-2.19
V  0.5000  0.3756  0.2500  6 O 2.05-2.06
V  0.5000  0.6244  0.7500  6 O 2.05-2.06
Cr  0.5000  0.1236  0.7500  6 O 2.03-2.05
Cr  0.5000  0.8764  0.2500  6 O 2.03-2.05
O  0.2719  0.3720  0.5090  1 Cr 2.05, 2 V 2.05-2.06, 3 Li 2.16-2.22
O  0.2719  0.6280  0.0090  1 Cr 2.05, 2 V 2.05-2.06, 3 Li 2.16-2.22
O  0.2744  0.1226  0.0075  2 Cr 2.03, 1 V 2.06, 3 Li 2.16-2.17
O  0.2744  0.8774  0.5075  2 Cr 2.03, 1 V 2.06, 3 Li 2.16-2.17
O  0.7256  0.1226  0.4925  2 Cr 2.03, 1 V 2.06, 3 Li 2.16-2.17
O  0.7256  0.8774  0.9925  2 Cr 2.03, 1 V 2.06, 3 Li 2.16-2.17
O  0.7281  0.3720  0.9910  1 Cr 2.05, 2 V 2.05-2.06, 3 Li 2.16-2.22
O  0.7281  0.6280  0.4910  1 Cr 2.05, 2 V 2.05-2.06, 3 Li 2.16-2.22